Below is an optimized crystal structure of Ba5InAu2, with properties calculated at the GGA-PBE level.

Computed properties:
The calculation puts the uncorrected energy at -22.88 eV per formula unit. The value obtained for the formation energy is -0.4970 eV per atom.

Unit cell a=10.2880 b=10.2880 c=10.2880 alpha=127.71 beta=127.71 gamma=77.10
Closest atoms and distances in Å follow each position.
Fractional coordinates of all 16 atoms:
Ba: 0.0000 0.0000 0.0000  4 Au 3.58
Ba: 0.0301 0.5301 0.8370  3 Au 3.46-3.50, 2 In 3.82
Ba: 0.1930 0.0301 0.5000  3 Au 3.46-3.50, 2 In 3.82
Ba: 0.3070 0.8070 0.8370  3 Au 3.46-3.50, 2 In 3.82
Ba: 0.4699 0.3070 0.5000  3 Au 3.46-3.50, 2 In 3.82
Ba: 0.5000 0.5000 0.0000  4 Au 3.58
Ba: 0.5301 0.6930 0.5000  3 Au 3.46-3.50, 2 In 3.82
Ba: 0.6930 0.1930 0.1630  3 Au 3.46-3.50, 2 In 3.82
Ba: 0.8070 0.9699 0.5000  3 Au 3.46-3.50, 2 In 3.82
Ba: 0.9699 0.4699 0.1630  3 Au 3.46-3.50, 2 In 3.82
In: 0.2500 0.2500 0.0000  10 Ba 3.82-4.02
In: 0.7500 0.7500 0.0000  10 Ba 3.82-4.02
Au: 0.1254 0.3746 0.5000  1 Au 3.22, 8 Ba 3.46-3.58
Au: 0.3746 0.8746 0.2491  1 Au 3.22, 8 Ba 3.46-3.58
Au: 0.6254 0.1254 0.7509  1 Au 3.22, 8 Ba 3.46-3.58
Au: 0.8746 0.6254 0.5000  1 Au 3.22, 8 Ba 3.46-3.58